# 1
Here is crystalline TiTe2SeN at its relaxed geometry from the Alexandria database. Energies are from PBE.

Fermi-level density of states = 1.148 states/eV per atom
formation energy (no corrections) = 82.1 kJ per mole of atoms
total magnetic moment = 1.478 μB/cell
calculated volume = 115.1 Å³ per cell
distance to the lowest polymorph of the same formula = 718 meV per atom

a b c (Å): 5.600 5.600 3.670
angles (deg): 90.00 90.00 90.00
Space group P4/mmm (No. 123)
Unique sites:
Ti: 0.000 0.000 0.000
Te: 0.000 0.500 0.500
Se: 0.500 0.500 0.500
N: 0.500 0.500 0.000

---

# 2
Here is crystalline TiTe2SeN at its relaxed geometry from the Alexandria database. Energies are from PBE.

Fermi-level density of states = 1.104 states/eV per atom
formation energy (no corrections) = 12.8 kJ per mole of atoms
total magnetic moment = 0.001 μB/cell
calculated volume = 113.6 Å³ per cell
distance to the lowest polymorph of the same formula = 0 meV per atom

a b c (Å): 5.501 5.501 3.753
angles (deg): 90.00 90.00 90.00
Space group P4/mmm (No. 123)
Unique sites:
Ti: 0.000 0.000 0.000
Te: 0.000 0.500 0.000
Se: 0.500 0.500 0.500
N: 0.000 0.000 0.500

---

# 3
Here is crystalline TiTeSeN2 at its relaxed geometry from the Alexandria database. Energies are from PBE.

Fermi-level density of states = 0.928 states/eV per atom
formation energy (no corrections) = 40.3 kJ per mole of atoms
total magnetic moment = 0.003 μB/cell
calculated volume = 86.0 Å³ per cell
distance to the lowest polymorph of the same formula = 0 meV per atom

a b c (Å): 3.988 3.988 5.411
angles (deg): 90.00 90.00 90.00
Space group P4/mmm (No. 123)
Unique sites:
Ti: 0.000 0.000 0.000
Te: 0.500 0.500 0.500
Se: 0.000 0.000 0.500
N: 0.000 0.500 0.000

---

Number 1 is which compound? TiTe2SeN

---

Among the records above, which one has the highest Fermi-level density of states? number 1